First-principles (GGA-PBEsol) data for a relaxed structure of MnAgSb2, as listed in the Alexandria database.

Summary:
**Formation energy without anion corrections**: 0.49 eV/atom
**M_tot**: 3.9 μB/f.u.

abc: 6.992 6.992 6.992
angles: 90.00 90.00 90.00
Sites, in units of the cell vectors:
Mn1 0.000 0.000 0.000
Mn2 0.000 0.500 0.500
Mn3 0.500 0.000 0.500
Mn4 0.500 0.500 0.000
Ag1 0.250 0.250 0.250
Ag2 0.250 0.750 0.750
Ag3 0.750 0.250 0.750
Ag4 0.750 0.750 0.250
Sb1 0.000 0.000 0.500
Sb2 0.000 0.500 0.000
Sb3 0.250 0.250 0.750
Sb4 0.250 0.750 0.250
Sb5 0.500 0.000 0.000
Sb6 0.500 0.500 0.500
Sb7 0.750 0.250 0.250
Sb8 0.750 0.750 0.750